(1)
Entry from the Alexandria database: Li6SbS2 after structural relaxation (PBE-GGA).

Properties
**Uncorrected formation energy**: -8.84 eV/f.u.
**Total magnetization**: 0.00 Bohr magnetons per cell

The structure in POSCAR format:
```
Li6SbS2
1.0
-7.051 -0.564 -8.252
-2.976 -1.605 -10.330
-1.041 -6.252 1.089
Li Sb S
12 2 4
direct
0.793 0.964 0.965
0.672 0.458 0.872
0.458 0.672 0.372
0.076 0.502 0.816
0.924 0.498 0.184
0.328 0.542 0.128
0.964 0.793 0.465
0.502 0.076 0.316
0.036 0.207 0.535
0.207 0.036 0.035
0.498 0.924 0.684
0.542 0.328 0.628
0.902 0.098 0.250
0.098 0.902 0.750
0.084 0.569 0.171
0.431 0.916 0.329
0.916 0.431 0.829
0.569 0.084 0.671
```

(2)
Entry from the Alexandria database: P2RhPb after structural relaxation (PBE-GGA).

Properties
**DFT formation energy**: 0.5648 eV per atom
**Total magnetization**: 0.00 Bohr magnetons per cell

The structure in POSCAR format:
```
P2RhPb
1.0
4.654 0.000 0.000
2.327 4.031 0.000
2.327 1.344 3.800
P Rh Pb
2 1 1
direct
0.000 0.000 0.000
0.250 0.250 0.250
0.750 0.750 0.750
0.500 0.500 0.500
```

(3)
Entry from the Alexandria database: Er5Tl2Tc after structural relaxation (PBE-GGA).

Properties
**DFT formation energy**: -0.2277 eV per atom
**Total magnetization**: 0.00 Bohr magnetons per cell

The structure in POSCAR format:
```
Er5Tl2Tc
1.0
4.967 0.000 0.000
0.000 6.663 0.000
0.000 0.000 12.546
Er Tl Tc
10 4 2
direct
0.000 0.886 0.714
0.500 0.170 0.592
0.500 0.830 0.408
0.000 0.614 0.214
0.000 0.386 0.786
0.000 0.500 0.500
0.000 0.114 0.286
0.500 0.330 0.092
0.000 0.000 0.000
0.500 0.670 0.908
0.500 0.374 0.347
0.500 0.874 0.153
0.500 0.626 0.653
0.500 0.126 0.847
0.000 0.500 0.000
0.000 0.000 0.500
```

(4)
Entry from the Alexandria database: NaTi2Al2 after structural relaxation (PBE-GGA).

Properties
**DFT formation energy**: 0.2955 eV per atom
**Total magnetization**: 3.09 Bohr magnetons per cell

The structure in POSCAR format:
```
NaTi2Al2
1.0
-2.459 1.139 2.898
-1.386 -3.707 0.281
2.727 -2.682 6.085
Al Ti Na
2 2 1
direct
0.400 0.400 0.199
0.600 0.600 0.801
0.250 0.750 0.500
0.750 0.250 0.500
0.000 0.000 0.000
```

(5)
Entry from the Alexandria database: RbNd2Re2N6 after structural relaxation (PBE-GGA).

Properties
**Uncorrected formation energy**: -6.10 eV/f.u.
**Total magnetization**: 0.00 Bohr magnetons per cell

The structure in POSCAR format:
```
RbNd2Re2N6
1.0
6.963 -0.408 0.390
3.117 5.505 -0.042
0.563 -3.388 6.160
Re N Nd Rb
2 6 2 1
direct
0.855 0.233 0.189
0.145 0.767 0.811
0.149 0.866 0.597
0.023 0.567 0.790
0.593 0.374 0.141
0.977 0.433 0.210
0.407 0.626 0.859
0.851 0.134 0.403
0.821 0.347 0.775
0.179 0.653 0.225
0.500 0.000 0.500
```

(6)
Entry from the Alexandria database: Pm4ErRh5 after structural relaxation (PBE-GGA).

Properties
**DFT formation energy**: -0.7218 eV per atom
**Total magnetization**: 0.00 Bohr magnetons per cell

The structure in POSCAR format:
```
Pm4ErRh5
1.0
3.465 0.000 0.000
0.000 3.465 0.000
0.000 0.000 17.764
Rh Er Pm
5 1 4
direct
0.500 0.500 0.907
0.500 0.500 0.703
0.500 0.500 0.093
0.500 0.500 0.500
0.500 0.500 0.297
0.000 0.000 0.000
0.000 0.000 0.601
0.000 0.000 0.804
0.000 0.000 0.196
0.000 0.000 0.399
```

(7)
Entry from the Alexandria database: Ca2MnTeC after structural relaxation (PBE-GGA).

Properties
**Uncorrected formation energy**: -2.01 eV/f.u.
**Total magnetization**: 3.39 Bohr magnetons per cell

The structure in POSCAR format:
```
Ca2MnTeC
1.0
-0.353 -3.018 -4.296
4.370 2.217 -1.917
2.167 -2.755 1.757
Mn C Ca Te
1 1 2 1
direct
0.000 0.000 0.500
0.000 0.000 0.000
0.500 0.000 0.000
0.000 0.500 0.000
0.500 0.500 0.500
```

(8)
Entry from the Alexandria database: TaHgAsO5 after structural relaxation (PBE-GGA).

Properties
**Uncorrected formation energy**: -11.94 eV/f.u.
**Total magnetization**: 0.00 Bohr magnetons per cell

The structure in POSCAR format:
```
TaHgAsO5
1.0
6.058 0.084 -0.139
-1.688 5.819 -0.139
-1.985 -2.681 6.880
O As Ta Hg
10 2 2 2
direct
0.792 0.622 0.391
0.725 0.121 0.389
0.955 0.045 0.750
0.879 0.275 0.111
0.622 0.792 0.891
0.378 0.208 0.109
0.275 0.879 0.611
0.121 0.725 0.889
0.208 0.378 0.609
0.045 0.955 0.250
0.694 0.306 0.250
0.306 0.694 0.750
0.000 0.000 0.500
0.000 0.000 0.000
0.668 0.332 0.750
0.332 0.668 0.250
```

Please write out number 1 again, unchanged.
Entry from the Alexandria database: Li6SbS2 after structural relaxation (PBE-GGA).

Properties
**Uncorrected formation energy**: -8.84 eV/f.u.
**Total magnetization**: 0.00 Bohr magnetons per cell

The structure in POSCAR format:
```
Li6SbS2
1.0
-7.051 -0.564 -8.252
-2.976 -1.605 -10.330
-1.041 -6.252 1.089
Li Sb S
12 2 4
direct
0.793 0.964 0.965
0.672 0.458 0.872
0.458 0.672 0.372
0.076 0.502 0.816
0.924 0.498 0.184
0.328 0.542 0.128
0.964 0.793 0.465
0.502 0.076 0.316
0.036 0.207 0.535
0.207 0.036 0.035
0.498 0.924 0.684
0.542 0.328 0.628
0.902 0.098 0.250
0.098 0.902 0.750
0.084 0.569 0.171
0.431 0.916 0.329
0.916 0.431 0.829
0.569 0.084 0.671
```

Question: What is the formula in the fourth record?
Answer: NaTi2Al2